# 1
TeRuAu: single point on PBEsol structure, meta-GGA SCAN.

Properties
Symmetry = F-43m
Formation energy from raw total energies = 0.7834 eV per atom

Unit cell a=4.4647 b=4.4647 c=4.4647 alpha=60.00 beta=60.00 gamma=60.00
Positions (direct):
1 Te 0.0000 0.0000 0.0000
2 Ru 0.5000 0.5000 0.5000
3 Au 0.2500 0.2500 0.2500

***

# 2
TlRuAu2: single point on PBEsol structure, meta-GGA SCAN.

Properties
Relative energy among the computed polymorphs = 0.00 eV per formula unit
Calculated formation energy = 0.390 eV per atom
Symmetry = C2/m

Unit cell a=5.7721 b=5.7721 c=2.9452 alpha=104.38 beta=104.38 gamma=122.80
Positions (direct):
1 Tl 0.0000 0.0000 0.0000
2 Ru 0.5000 0.5000 0.0000
3 Au 0.0000 0.5000 0.5000
4 Au 0.5000 0.0000 0.5000

***

# 3
TlRuAu2: single point on PBEsol structure, meta-GGA SCAN.

Properties
Relative energy among the computed polymorphs = 0.10 eV per formula unit
Calculated formation energy = 0.416 eV per atom
Symmetry = Cmmm

Unit cell a=4.9218 b=4.9218 c=3.0974 alpha=90.00 beta=90.00 gamma=111.55
Positions (direct):
1 Tl 0.0000 0.0000 0.0000
2 Ru 0.5000 0.5000 0.0000
3 Au 0.0000 0.5000 0.5000
4 Au 0.5000 0.0000 0.5000

***

Magnetic moment for every record listed, in sequence, given in μB per formula unit: 2.1 1.1 0.0.
Density for every record listed, in sequence, given in g/cm3: 11.23 16.47 16.64.